VASP calculation (GGA-PBEsol) on a relaxed Y5Ru2 crystal.

Cell lengths 6.272, 7.186, 8.382 Å; angles 96.76, 111.97, 90.00 degrees
Atoms (fractional coordinates):
Y (0.294, 0.314, 0.434)
Y (0.293, 0.585, 0.814)
Y (0.521, 0.085, 0.814)
Y (0.140, 0.814, 0.434)
Y (0.920, 0.750, 0.000)
Y (0.479, 0.915, 0.186)
Y (0.707, 0.415, 0.186)
Y (0.080, 0.250, 0.000)
Y (0.860, 0.186, 0.566)
Y (0.706, 0.686, 0.566)
Ru (0.103, 0.924, 0.779)
Ru (0.897, 0.076, 0.221)
Ru (0.676, 0.424, 0.779)
Ru (0.324, 0.576, 0.221)

Summary:
Energy of formation, kJ/mol of atoms: -28.97
Space-group type: C2/c

VASP calculation (GGA-PBEsol) on a relaxed YRu2 crystal.

Cell lengths 5.224, 5.224, 17.441 Å; angles 90.00, 90.00, 120.00 degrees
Atoms (fractional coordinates):
Ru (0.837, 0.163, 0.250)
Ru (0.327, 0.163, 0.250)
Ru (0.163, 0.327, 0.750)
Ru (0.000, 0.500, 0.000)
Ru (0.837, 0.673, 0.250)
Ru (0.333, 0.667, 0.626)
Ru (0.500, 0.500, 0.000)
Ru (0.000, 0.500, 0.500)
Ru (0.667, 0.333, 0.126)
Ru (0.163, 0.837, 0.750)
Ru (0.333, 0.667, 0.874)
Ru (0.500, 0.000, 0.000)
Ru (0.673, 0.837, 0.750)
Ru (0.667, 0.333, 0.374)
Ru (0.500, 0.000, 0.500)
Ru (0.500, 0.500, 0.500)
Y (0.667, 0.333, 0.657)
Y (0.667, 0.333, 0.843)
Y (0.333, 0.667, 0.157)
Y (0.333, 0.667, 0.343)
Y (0.000, 0.000, 0.591)
Y (0.000, 0.000, 0.091)
Y (0.000, 0.000, 0.909)
Y (0.000, 0.000, 0.409)

Summary:
Energy of formation, kJ/mol of atoms: -25.01
Space-group type: P6_3/mmc

VASP calculation (GGA-PBEsol) on a relaxed Y5Ru crystal.

Cell lengths 3.422, 3.422, 13.808 Å; angles 90.00, 90.00, 90.00 degrees
Atoms (fractional coordinates):
Y (0.500, 0.500, 0.682)
Y (0.000, 0.000, 0.117)
Y (0.500, 0.500, 0.318)
Y (0.000, 0.000, 0.500)
Y (0.000, 0.000, 0.883)
Ru (0.500, 0.500, 0.000)

Summary:
Energy of formation, kJ/mol of atoms: -9.17
Space-group type: P4/mmm

VASP calculation (GGA-PBEsol) on a relaxed Y5Ru crystal.

Cell lengths 3.505, 6.256, 8.282 Å; angles 110.66, 90.00, 106.27 degrees
Atoms (fractional coordinates):
Y (0.164, 0.327, 0.787)
Y (0.132, 0.264, 0.371)
Y (0.868, 0.736, 0.629)
Y (0.500, 0.000, 0.000)
Y (0.836, 0.673, 0.213)
Ru (0.500, 0.000, 0.500)

Summary:
Energy of formation, kJ/mol of atoms: -10.24
Space-group type: C2/m

VASP calculation (GGA-PBEsol) on a relaxed Y2Ru3 crystal.

Cell lengths 5.408, 5.514, 8.020 Å; angles 99.52, 109.70, 60.63 degrees
Atoms (fractional coordinates):
Y (0.975, 0.166, 0.404)
Y (0.391, 0.334, 0.904)
Y (0.737, 0.834, 0.596)
Y (0.821, 0.666, 0.096)
Ru (0.298, 0.827, 0.745)
Ru (0.803, 0.327, 0.755)
Ru (0.380, 0.173, 0.255)
Ru (0.360, 0.500, 0.500)
Ru (0.110, 0.000, 0.000)
Ru (0.375, 0.673, 0.245)

Summary:
Energy of formation, kJ/mol of atoms: -15.81
Space-group type: Fdd2

VASP calculation (GGA-PBEsol) on a relaxed Y3Ru crystal.

Cell lengths 3.527, 5.212, 6.236 Å; angles 114.70, 106.43, 90.00 degrees
Atoms (fractional coordinates):
Y (0.500, 0.000, 0.000)
Y (0.303, 0.303, 0.606)
Y (0.697, 0.697, 0.394)
Ru (0.000, 0.500, 0.000)

Summary:
Energy of formation, kJ/mol of atoms: -17.30
Space-group type: Immm

VASP calculation (GGA-PBEsol) on a relaxed Y3Ru crystal.

Cell lengths 6.240, 7.229, 9.050 Å; angles 90.00, 90.00, 90.00 degrees
Atoms (fractional coordinates):
Y (0.832, 0.323, 0.564)
Y (0.368, 0.459, 0.750)
Y (0.132, 0.959, 0.750)
Y (0.332, 0.177, 0.064)
Y (0.668, 0.823, 0.936)
Y (0.168, 0.677, 0.064)
Y (0.832, 0.323, 0.936)
Y (0.668, 0.823, 0.564)
Y (0.868, 0.041, 0.250)
Y (0.632, 0.541, 0.250)
Y (0.168, 0.677, 0.436)
Y (0.332, 0.177, 0.436)
Ru (0.539, 0.115, 0.750)
Ru (0.461, 0.885, 0.250)
Ru (0.039, 0.385, 0.250)
Ru (0.961, 0.615, 0.750)

Summary:
Energy of formation, kJ/mol of atoms: -26.66
Space-group type: Pnma

VASP calculation (GGA-PBEsol) on a relaxed YRu2 crystal.

Cell lengths 4.140, 4.089, 4.089 Å; angles 120.00, 90.00, 90.00 degrees
Atoms (fractional coordinates):
Ru (0.500, 0.667, 0.333)
Ru (0.500, 0.333, 0.667)
Y (0.000, 0.000, 0.000)

Summary:
Energy of formation, kJ/mol of atoms: 5.38
Space-group type: P6/mmm

Number 1: final energy -8.080 eV per atom, DOS(E_F) 0.734 states/eV/atom. Number 2: final energy -9.315 eV per atom, DOS(E_F) 1.162 states/eV/atom. Number 3: final energy -7.476 eV per atom, DOS(E_F) 1.090 states/eV/atom. Number 4: final energy -7.487 eV per atom, DOS(E_F) 1.311 states/eV/atom. Number 5: final energy -8.996 eV per atom, DOS(E_F) 0.934 states/eV/atom. Number 6: final energy -7.839 eV per atom, DOS(E_F) 0.842 states/eV/atom. Number 7: final energy -7.936 eV per atom, DOS(E_F) 0.733 states/eV/atom. Number 8: final energy -9.000 eV per atom, DOS(E_F) 0.939 states/eV/atom.